(1)
CsKCuBr4: relaxed, GGA-PBE.

Values from the calculation:
Symmetry = P2_1/m (11)
Energy relative to the elements, uncorrected = -1.14 eV/atom
N(E_F) = 0.794 states/eV per atom
E = -41.40 eV per cell

Unit cell a=6.9565 b=7.5175 c=10.5117 alpha=90.00 beta=111.87 gamma=90.00
Closest atoms and distances in Å follow each position.
Positions (direct):
Br 0.0261 0.9911 0.7532  1 Cu 2.42
Br 0.0261 0.5089 0.7532  1 Cu 2.42
Br 0.3845 0.7500 0.1474  1 Cu 2.40
Br 0.9739 0.4911 0.2468  1 Cu 2.42
Br 0.9739 0.0089 0.2468  1 Cu 2.42
Br 0.3604 0.7500 0.5439  1 Cu 2.40
Br 0.6155 0.2500 0.8526  1 Cu 2.40
Br 0.6396 0.2500 0.4561  1 Cu 2.40
Cu 0.8029 0.2500 0.7018  4 Br 2.40-2.42
Cu 0.1971 0.7500 0.2982  4 Br 2.40-2.42
Cs 0.7004 0.7500 0.9162  8 Br 3.74-3.84
Cs 0.2996 0.2500 0.0838  8 Br 3.74-3.84
K 0.2098 0.2500 0.5424  7 Br 3.43-3.73, 2 Cu 3.79-3.83
K 0.7902 0.7500 0.4576  7 Br 3.43-3.73, 2 Cu 3.79-3.83


(2)
MgAg4Ru4O12: relaxed, GGA-PBE.

Values from the calculation:
Symmetry = F-43m (216)
Energy relative to the elements, uncorrected = -0.60 eV/atom
N(E_F) = 0.641 states/eV per atom
E = -122.10 eV per cell
Relative energy among the computed polymorphs = 2.14 eV/f.u.

Unit cell a=7.2378 b=7.2378 c=7.2378 alpha=60.00 beta=60.00 gamma=60.00
Closest atoms and distances in Å follow each position.
Positions (direct):
O 0.9459 0.5541 0.5541  2 Ru 1.95
O 0.1982 0.8018 0.8018  2 Ru 1.96
O 0.5541 0.5541 0.9459  2 Ru 1.95
O 0.1982 0.8018 0.1982  2 Ru 1.96
O 0.5541 0.9459 0.5541  2 Ru 1.95
O 0.8018 0.8018 0.1982  2 Ru 1.96
O 0.9459 0.5541 0.9459  2 Ru 1.95
O 0.1982 0.1982 0.8018  2 Ru 1.96
O 0.8018 0.1982 0.8018  2 Ru 1.96
O 0.9459 0.9459 0.5541  2 Ru 1.95
O 0.8018 0.1982 0.1982  2 Ru 1.96
O 0.5541 0.9459 0.9459  2 Ru 1.95
Ru 0.8752 0.8752 0.3744  6 O 1.95-1.96
Ru 0.8752 0.3744 0.8752  6 O 1.95-1.96
Ru 0.8752 0.8752 0.8752  6 O 1.95-1.96
Ru 0.3744 0.8752 0.8752  6 O 1.95-1.96
Ag 0.3486 0.3486 0.9543  6 O 2.54-2.68, 1 Mg 2.68
Ag 0.9543 0.3486 0.3486  6 O 2.54-2.68, 1 Mg 2.68
Ag 0.3486 0.9543 0.3486  6 O 2.54-2.68, 1 Mg 2.68
Ag 0.3486 0.3486 0.3486  6 O 2.54-2.68, 1 Mg 2.68
Mg 0.5000 0.5000 0.5000  4 Ag 2.68


(3)
Pr3Ho3Er2: relaxed, GGA-PBE.

Values from the calculation:
Symmetry = Immm (71)
N(E_F) = 2.110 states/eV per atom
DFT formation energy = 0.12 eV/atom
E = -36.21 eV per cell
Relative energy among the computed polymorphs = 0.79 eV/f.u.

Unit cell a=5.9310 b=5.9409 c=8.5701 alpha=110.29 beta=110.24 gamma=90.00
Closest atoms and distances in Å follow each position.
Positions (direct):
Ho 0.1261 0.6264 0.2522  4 Er 3.48-3.51, 3 Pr 3.51-3.61, 3 Ho 3.52-3.77
Ho 0.8739 0.3736 0.7478  4 Er 3.48-3.51, 3 Pr 3.51-3.61, 3 Ho 3.52-3.77
Ho 0.0000 0.0000 0.0000  4 Ho 3.52, 4 Pr 3.57, 2 Er 3.71
Pr 0.3674 0.8674 0.7347  4 Er 3.43-3.47, 3 Ho 3.57-3.61, 2 Pr 3.57
Pr 0.6326 0.1326 0.2653  4 Er 3.43-3.47, 3 Ho 3.57-3.61, 2 Pr 3.57
Pr 0.5000 0.5000 0.0000  4 Ho 3.51, 4 Pr 3.57, 2 Er 3.76
Er 0.2481 0.2483 0.4962  5 Pr 3.43-3.76, 5 Ho 3.48-3.71
Er 0.7519 0.7517 0.5038  5 Pr 3.43-3.76, 5 Ho 3.48-3.71